Material: Cr3SeO
Method: DFT, GGA+U
State: optimized geometry

Its final energy is -5.634 eV per atom. The value obtained for the energy above the most stable polymorph in this dataset is 975 meV per atom. As for the magnetic moment: 13.99 μB/f.u.

It has space group Pm-3m (No. 221), with a = 4.926 Å, b = 4.926 Å, c = 4.926 Å, α = 90.00°, β = 90.00° and γ = 90.00°. The distinct sites, in fractional coordinates, are Cr at (0.000, 0.000, 0.500), Se at (0.000, 0.000, 0.000) and O at (0.500, 0.500, 0.500).